Below is crystalline CoHAu at its relaxed geometry, with properties calculated at the GGA-PBE level.

As for the crystal system: monoclinic. The calculation puts the total DFT energy (no corrections) at -4.445 eV per atom. For the distance to the lowest polymorph of the same formula, the calculation gives 0 meV/atom.

Lattice parameters (Å, degrees): 2.8546 2.8800 9.1548 99.52 90.00 119.71
With the nearest neighbours (Å) after each atom.
Fractional positions:
Co1 0.1270 0.2539 0.8863  4 H 1.69-1.72
Co2 0.8730 0.7461 0.1137  4 H 1.69-1.72
Au1 0.2880 0.5760 0.3611  1 H 2.55, 3 Co 2.77-2.78
Au2 0.7120 0.4240 0.6389  1 H 2.55, 3 Co 2.77-2.78
H1 0.1918 0.3836 0.0776  4 Co 1.69-1.72
H2 0.8082 0.6164 0.9224  4 Co 1.69-1.72